DFT (PBE) results for a relaxed structure of TmBiRh.

Cell and atoms, written as CIF:
```
data_TmBiRh
_cell_length_a 6.710
_cell_length_b 6.710
_cell_length_c 6.710
_cell_angle_alpha 90.00
_cell_angle_beta 90.00
_cell_angle_gamma 90.00
_symmetry_space_group_name_H-M 'F -4 3 m'
_symmetry_Int_Tables_number 216
_symmetry_space_group_name_Hall 'F -4 2 3'
loop_
_atom_site_label
_atom_site_type_symbol
_atom_site_fract_x
_atom_site_fract_y
_atom_site_fract_z
Tm1 Tm 0.000 0.000 0.000
Bi1 Bi 0.250 0.250 0.750
Rh1 Rh 0.000 0.000 0.500
```

Calculated values
The value obtained for the formation energy is -0.21 eV per atom. For the total energy, the calculation gives -5.443 eV per atom. The density of states at the Fermi level comes out at 4.20 states/eV per cell.


DFT (PBE) results for a relaxed structure of Tm2BiRh.

Cell and atoms, written as CIF:
```
data_Tm2BiRh
_cell_length_a 6.205
_cell_length_b 5.996
_cell_length_c 11.439
_cell_angle_alpha 90.00
_cell_angle_beta 105.18
_cell_angle_gamma 90.00
_symmetry_space_group_name_H-M 'P 1 2/c 1'
_symmetry_Int_Tables_number 13
_symmetry_space_group_name_Hall '-P 2yc'
loop_
_atom_site_label
_atom_site_type_symbol
_atom_site_fract_x
_atom_site_fract_y
_atom_site_fract_z
Tm1 Tm 0.160 0.156 0.119
Tm2 Tm 0.267 0.313 0.833
Bi1 Bi 0.351 0.198 0.405
Rh1 Rh 0.133 0.329 0.585
```

Calculated values
The value obtained for the formation energy is -0.62 eV per atom. For the total energy, the calculation gives -5.662 eV per atom. Its polymorph energy (0 for the lowest one) is 114 meV per atom. The density of states at the Fermi level comes out at 8.66 states/eV per cell.


DFT (PBE) results for a relaxed structure of Tm4BiRh.

Cell and atoms, written as CIF:
```
data_Tm4BiRh
_cell_length_a 8.869
_cell_length_b 13.208
_cell_length_c 6.020
_cell_angle_alpha 90.00
_cell_angle_beta 112.07
_cell_angle_gamma 90.00
_symmetry_space_group_name_H-M 'C 1 2/c 1'
_symmetry_Int_Tables_number 15
_symmetry_space_group_name_Hall '-C 2yc'
loop_
_atom_site_label
_atom_site_type_symbol
_atom_site_fract_x
_atom_site_fract_y
_atom_site_fract_z
Tm1 Tm 0.110 0.170 0.066
Tm2 Tm 0.222 0.424 0.356
Bi1 Bi 0.000 0.375 0.750
Rh1 Rh 0.000 0.000 0.250
```

Calculated values
The value obtained for the formation energy is -0.60 eV per atom. For the total energy, the calculation gives -5.452 eV per atom. Its polymorph energy (0 for the lowest one) is 33 meV per atom. The density of states at the Fermi level comes out at 19.79 states/eV per cell.


DFT (PBE) results for a relaxed structure of TmBi2Rh2.

Cell and atoms, written as CIF:
```
data_TmBi2Rh2
_cell_length_a 4.704
_cell_length_b 4.757
_cell_length_c 10.093
_cell_angle_alpha 90.00
_cell_angle_beta 90.05
_cell_angle_gamma 90.00
_symmetry_space_group_name_H-M 'P 1 21/m 1'
_symmetry_Int_Tables_number 11
_symmetry_space_group_name_Hall '-P 2yb'
loop_
_atom_site_label
_atom_site_type_symbol
_atom_site_fract_x
_atom_site_fract_y
_atom_site_fract_z
Tm1 Tm 0.250 0.250 0.170
Bi1 Bi 0.250 0.250 0.499
Bi2 Bi 0.250 0.250 0.833
Rh1 Rh 0.250 0.750 0.325
Rh2 Rh 0.251 0.750 0.995
```

Calculated values
The value obtained for the formation energy is -0.51 eV per atom. For the total energy, the calculation gives -5.898 eV per atom. The density of states at the Fermi level comes out at 5.49 states/eV per cell.